(1)
The following is a DFT calculation (PBE) of a relaxed SnBiSbPb crystal.

## Properties
- Formation energy without anion corrections: 0.1128 eV per atom
- Total energy: -3.816 eV/atom
- Total magnetization: 0.000 μB/cell
- N(E_F): 1.67 states/eV/f.u.

Unit cell a=4.621 b=4.625 c=8.027 alpha=90.03 beta=90.00 gamma=119.97
Fractional coordinates of all 4 atoms:
Sn 0.039 0.079 0.162
Bi 0.377 0.755 0.716
Sb 0.706 0.412 0.005
Pb 0.044 0.087 0.534

=====

(2)
The following is a DFT calculation (PBE) of a relaxed Er3TmCu2 crystal.

## Properties
- Total energy: -4.576 eV/atom
- Total magnetization: 0.000 μB/cell
- ΔH_f (0 K): -0.184 eV per atom
- N(E_F): 6.19 states/eV/f.u.
- E above lowest polymorph: 0.0 meV/atom

Unit cell a=4.851 b=6.809 c=8.608 alpha=90.00 beta=90.00 gamma=90.00
Fractional coordinates of all 12 atoms:
Er 0.000 0.485 0.925
Er 0.000 0.985 0.075
Er 0.500 0.645 0.167
Er 0.500 0.145 0.833
Er 0.000 0.355 0.334
Er 0.000 0.855 0.666
Tm 0.500 0.516 0.574
Tm 0.500 0.016 0.426
Cu 0.500 0.739 0.848
Cu 0.500 0.239 0.152
Cu 0.000 0.260 0.651
Cu 0.000 0.760 0.349

=====

(3)
The following is a DFT calculation (PBE) of a relaxed NaMg4As3O12 crystal.

## Properties
- Formation energy without anion corrections: -1.6911 eV per atom
- Total energy: -5.748 eV/atom
- Total magnetization: 0.000 μB/cell

Unit cell a=6.553 b=6.553 c=6.553 alpha=109.47 beta=109.47 gamma=109.47
Fractional coordinates of all 20 atoms:
Na 0.000 0.000 0.000
Mg 0.500 0.000 0.000
Mg 0.500 0.500 0.500
Mg 0.000 0.500 0.000
Mg 0.000 0.000 0.500
As 0.000 0.500 0.500
As 0.500 0.500 0.000
As 0.500 0.000 0.500
O 0.331 0.835 0.166
O 0.669 0.165 0.834
O 0.669 0.835 0.503
O 0.834 0.669 0.165
O 0.835 0.166 0.331
O 0.165 0.497 0.331
O 0.497 0.331 0.165
O 0.165 0.834 0.669
O 0.331 0.165 0.497
O 0.166 0.331 0.835
O 0.835 0.503 0.669
O 0.503 0.669 0.835

=====

(4)
The following is a DFT calculation (PBE) of a relaxed Be2Zn2SiPt5 crystal.

## Properties
- Formation energy without anion corrections: -0.5443 eV per atom
- Total energy: -5.107 eV/atom
- Total magnetization: 0.000 μB/cell
- N(E_F): 3.09 states/eV/f.u.

Unit cell a=3.313 b=9.142 c=9.142 alpha=90.00 beta=90.00 gamma=90.00
Fractional coordinates of all 20 atoms:
Be 0.000 0.126 0.626
Be 0.000 0.874 0.374
Be 0.000 0.626 0.874
Be 0.000 0.374 0.126
Zn 0.000 0.669 0.169
Zn 0.000 0.331 0.831
Zn 0.000 0.169 0.331
Zn 0.000 0.831 0.669
Si 0.000 0.000 0.000
Si 0.000 0.500 0.500
Pt 0.500 0.197 0.086
Pt 0.500 0.803 0.914
Pt 0.500 0.086 0.803
Pt 0.500 0.697 0.414
Pt 0.500 0.914 0.197
Pt 0.500 0.303 0.586
Pt 0.500 0.586 0.697
Pt 0.500 0.414 0.303
Pt 0.500 0.500 0.000
Pt 0.500 0.000 0.500

=====

(5)
The following is a DFT calculation (PBE) of a relaxed Dy2Er7Mg2 crystal.

## Properties
- Total energy: -3.885 eV/atom
- Total magnetization: 0.000 μB/cell
- ΔH_f (0 K): 0.146 eV per atom
- N(E_F): 15.36 states/eV/f.u.
- E above lowest polymorph: 113.0 meV/atom

Unit cell a=8.022 b=6.558 c=6.558 alpha=90.16 beta=80.02 gamma=80.02
Fractional coordinates of all 11 atoms:
Dy 0.500 0.180 0.820
Dy 0.500 0.820 0.180
Er 0.179 0.108 0.517
Er 0.821 0.483 0.892
Er 0.821 0.892 0.483
Er 0.179 0.517 0.108
Er 0.000 0.000 0.000
Er 0.471 0.692 0.692
Er 0.529 0.308 0.308
Mg 0.854 0.405 0.405
Mg 0.146 0.595 0.595

=====

(6)
The following is a DFT calculation (PBE) of a relaxed CeCoGe2Rh2 crystal.

## Properties
- Total energy: -6.505 eV/atom
- Total magnetization: 0.168 μB/cell
- ΔH_f (0 K): -0.342 eV per atom
- N(E_F): 4.75 states/eV/f.u.

Unit cell a=4.456 b=4.456 c=5.347 alpha=90.00 beta=90.00 gamma=90.00
Each line ends with the local moment (μB).
Fractional coordinates of all 6 atoms:
Ce 0.000 0.000 0.500  0.21
Co 0.000 0.000 0.000  -0.02
Ge 0.500 0.000 0.000  0.00
Ge 0.000 0.500 0.000  0.00
Rh 0.500 0.500 0.742  -0.02
Rh 0.500 0.500 0.258  -0.02

=====

(7)
The following is a DFT calculation (PBE) of a relaxed Li2MgTl crystal.

## Properties
- Total energy: -2.080 eV/atom
- Total magnetization: 0.000 μB/cell
- ΔH_f (0 K): -0.133 eV per atom
- N(E_F): 1.47 states/eV/f.u.

Unit cell a=3.560 b=3.560 c=6.613 alpha=90.00 beta=90.00 gamma=90.00
Fractional coordinates of all 4 atoms:
Tl 0.500 0.500 0.772
Mg 0.000 0.000 0.489
Li 0.000 0.000 0.001
Li 0.500 0.500 0.238

=====

(8)
The following is a DFT calculation (PBE) of a relaxed Rb3Ac2LaSe6 crystal.

## Properties
- Formation energy without anion corrections: -1.8066 eV per atom
- Total energy: -4.886 eV/atom
- Total magnetization: 0.000 μB/cell
- N(E_F): 0.00 states/eV/f.u.

Unit cell a=4.567 b=9.605 c=10.634 alpha=106.85 beta=102.40 gamma=90.00
Fractional coordinates of all 12 atoms:
Rb 0.500 0.500 0.000
Rb 0.833 0.166 0.667
Rb 0.167 0.834 0.333
Ac 0.834 0.669 0.669
Ac 0.166 0.331 0.331
La 0.500 0.000 0.000
Se 0.346 0.897 0.692
Se 0.676 0.560 0.352
Se 0.654 0.103 0.308
Se 0.008 0.218 0.016
Se 0.992 0.782 0.984
Se 0.324 0.440 0.648

=====

(9)
The following is a DFT calculation (PBE) of a relaxed Th3Fe2Si4 crystal.

## Properties
- Formation energy without anion corrections: -0.6522 eV per atom
- Total energy: -7.416 eV/atom
- Total magnetization: 0.000 μB/cell
- N(E_F): 4.43 states/eV/f.u.

Unit cell a=4.095 b=5.873 c=8.099 alpha=106.23 beta=90.00 gamma=110.40
Fractional coordinates of all 9 atoms:
Th 0.616 0.231 0.688
Th 0.000 0.000 0.000
Th 0.384 0.769 0.312
Fe 0.699 0.398 0.363
Fe 0.301 0.602 0.637
Si 0.718 0.435 0.079
Si 0.282 0.565 0.921
Si 0.885 0.769 0.602
Si 0.115 0.231 0.398

=====

(10)
The following is a DFT calculation (PBE) of a relaxed ZrGa2Pd7 crystal.

## Properties
- Total energy: -5.319 eV/atom
- Total magnetization: 0.000 μB/cell
- ΔH_f (0 K): -0.223 eV per atom
- N(E_F): 5.33 states/eV/f.u.
- E above lowest polymorph: 415.9 meV/atom

Unit cell a=4.304 b=7.189 c=7.189 alpha=118.43 beta=90.00 gamma=90.00
Fractional coordinates of all 10 atoms:
Zr 0.000 0.000 0.000
Ga 0.500 0.696 0.304
Ga 0.500 0.304 0.696
Pd 0.000 0.783 0.217
Pd 0.000 0.217 0.783
Pd 0.500 0.072 0.300
Pd 0.500 0.928 0.700
Pd 0.500 0.300 0.072
Pd 0.500 0.700 0.928
Pd 0.500 0.500 0.500

=====

(11)
The following is a DFT calculation (PBE) of a relaxed Sc2Ge2Os crystal.

## Properties
- Total energy: -7.265 eV/atom
- Total magnetization: 0.000 μB/cell
- ΔH_f (0 K): -0.640 eV per atom
- N(E_F): 2.44 states/eV/f.u.

Unit cell a=4.072 b=5.314 c=5.314 alpha=60.17 beta=67.47 gamma=67.47
Fractional coordinates of all 5 atoms:
Sc 0.793 0.707 0.707
Sc 0.207 0.293 0.293
Ge 0.500 0.731 0.269
Ge 0.500 0.269 0.731
Os 0.000 0.000 0.000

=====

(12)
The following is a DFT calculation (PBE) of a relaxed Y2Be2Pb crystal.

## Properties
- Total energy: -5.007 eV/atom
- Total magnetization: 0.000 μB/cell
- ΔH_f (0 K): -0.189 eV per atom
- N(E_F): 0.74 states/eV/f.u.
- E above lowest polymorph: 0.0 meV/atom

Unit cell a=6.888 b=6.888 c=4.375 alpha=90.00 beta=90.00 gamma=90.00
Fractional coordinates of all 10 atoms:
Pb 0.000 0.000 0.000
Pb 0.500 0.500 0.000
Y 0.170 0.670 0.500
Y 0.670 0.830 0.500
Y 0.830 0.330 0.500
Y 0.330 0.170 0.500
Be 0.388 0.888 0.000
Be 0.888 0.612 0.000
Be 0.612 0.112 0.000
Be 0.112 0.388 0.000

=====

(13)
The following is a DFT calculation (PBE) of a relaxed Pu2Ir4Rh5 crystal.

## Properties
- Total energy: -9.220 eV/atom
- Total magnetization: 7.998 μB/cell
- ΔH_f (0 K): -0.051 eV per atom
- N(E_F): 27.02 states/eV/f.u.

Unit cell a=5.281 b=5.203 c=8.819 alpha=81.26 beta=72.58 gamma=59.50
Each line ends with the local moment (μB).
Fractional coordinates of all 11 atoms:
Pu 0.876 0.000 0.249  4.87
Pu 0.124 0.000 0.751  4.87
Ir 0.480 0.301 0.739  -0.31
Ir 0.520 0.699 0.261  -0.31
Ir 0.219 0.301 0.261  -0.31
Ir 0.781 0.699 0.739  -0.31
Rh 0.500 0.000 0.000  -0.13
Rh 0.000 0.500 0.000  -0.21
Rh 0.500 0.500 0.000  -0.21
Rh 0.250 0.500 0.500  -0.18
Rh 0.750 0.500 0.500  -0.18

=====

(14)
The following is a DFT calculation (PBE) of a relaxed MnNi2Br crystal.

## Properties
- Formation energy without anion corrections: 0.5562 eV per atom
- Total energy: -5.045 eV/atom
- Total magnetization: 8.193 μB/cell
- N(E_F): 2.50 states/eV/f.u.
- E above lowest polymorph: 336.5 meV/atom

Unit cell a=6.815 b=6.815 c=5.453 alpha=51.32 beta=51.32 gamma=90.00
Each line ends with the local moment (μB).
Fractional coordinates of all 8 atoms:
Ni 0.632 0.125 0.250  0.31
Ni 0.118 0.625 0.250  0.28
Ni 0.375 0.368 0.750  0.29
Ni 0.875 0.882 0.750  0.28
Mn 0.500 0.500 0.000  3.46
Mn 0.250 0.750 0.500  3.46
Br 0.000 0.000 0.000  -0.01
Br 0.750 0.250 0.500  -0.01

=====

(15)
The following is a DFT calculation (PBE) of a relaxed Nd11Tl9Ni4 crystal.

## Properties
- Total energy: -4.424 eV/atom
- Total magnetization: 0.000 μB/cell
- ΔH_f (0 K): -0.388 eV per atom
- N(E_F): 17.03 states/eV/f.u.

Unit cell a=3.797 b=13.521 c=13.521 alpha=112.61 beta=90.00 gamma=90.00
Fractional coordinates of all 24 atoms:
Nd 0.000 0.582 0.916
Nd 0.000 0.418 0.084
Nd 0.000 0.916 0.582
Nd 0.000 0.084 0.418
Nd 0.000 0.626 0.374
Nd 0.000 0.374 0.626
Nd 0.000 0.838 0.162
Nd 0.000 0.162 0.838
Nd 0.000 0.000 0.000
Nd 0.000 0.687 0.687
Nd 0.000 0.313 0.313
Tl 0.500 0.631 0.157
Tl 0.500 0.369 0.843
Tl 0.500 0.157 0.631
Tl 0.500 0.843 0.369
Tl 0.500 0.781 0.924
Tl 0.500 0.219 0.076
Tl 0.500 0.924 0.781
Tl 0.500 0.076 0.219
Tl 0.500 0.500 0.500
Ni 0.500 0.551 0.751
Ni 0.500 0.449 0.249
Ni 0.500 0.751 0.551
Ni 0.500 0.249 0.449

=====

(16)
The following is a DFT calculation (PBE) of a relaxed LiCdO2F crystal.

## Properties
- Formation energy without anion corrections: -0.7443 eV per atom
- Total energy: -3.668 eV/atom
- Total magnetization: 1.394 μB/cell
- N(E_F): 4.98 states/eV/f.u.

Unit cell a=4.183 b=4.183 c=4.525 alpha=90.00 beta=90.00 gamma=90.00
Each line ends with the local moment (μB).
Fractional coordinates of all 5 atoms:
F 0.000 0.000 0.500  0.05
Li 0.500 0.500 0.500  0.00
O 0.000 0.500 0.000  0.54
O 0.500 0.000 0.000  0.54
Cd 0.000 0.000 0.000  0.06

=====

(17)
The following is a DFT calculation (PBE) of a relaxed GdHgBi2 crystal.

## Properties
- Total energy: -5.966 eV/atom
- Total magnetization: 6.955 μB/cell
- ΔH_f (0 K): -0.430 eV per atom
- N(E_F): 1.73 states/eV/f.u.
- E above lowest polymorph: 0.0 meV/atom

Unit cell a=4.719 b=4.904 c=4.904 alpha=90.00 beta=90.00 gamma=90.00
Each line ends with the local moment (μB).
Fractional coordinates of all 4 atoms:
Gd 0.500 0.500 0.500  6.93
Bi 0.000 0.000 0.500  -0.03
Bi 0.000 0.500 0.000  -0.03
Hg 0.500 0.000 0.000  -0.01

=====

(18)
The following is a DFT calculation (PBE) of a relaxed TiNb2HAu crystal.

## Properties
- Total energy: -7.139 eV/atom
- Total magnetization: 0.000 μB/cell
- N(E_F): 5.31 states/eV/f.u.
- E above lowest polymorph: 0.0 meV/atom

Unit cell a=4.058 b=4.058 c=4.386 alpha=90.00 beta=90.00 gamma=90.00
Fractional coordinates of all 5 atoms:
H 0.000 0.000 0.000
Nb 0.000 0.500 0.000
Nb 0.500 0.000 0.000
Au 0.500 0.500 0.500
Ti 0.000 0.000 0.500

=====

(19)
The following is a DFT calculation (PBE) of a relaxed LaPrGdSn crystal.

## Properties
- Total energy: -7.255 eV/atom
- Total magnetization: 7.948 μB/cell
- ΔH_f (0 K): -0.308 eV per atom
- N(E_F): 5.39 states/eV/f.u.

Unit cell a=5.602 b=5.602 c=5.602 alpha=60.00 beta=60.00 gamma=60.00
Each line ends with the local moment (μB).
Fractional coordinates of all 4 atoms:
Pr 0.000 0.000 0.000  0.11
Gd 0.750 0.750 0.750  7.34
Sn 0.250 0.250 0.250  -0.05
La 0.500 0.500 0.500  0.10

=====

(20)
The following is a DFT calculation (PBE) of a relaxed Al2In2As crystal.

## Properties
- Total energy: -3.257 eV/atom
- Total magnetization: 0.000 μB/cell
- ΔH_f (0 K): 0.265 eV per atom
- N(E_F): 2.27 states/eV/f.u.
- E above lowest polymorph: 140.4 meV/atom

Unit cell a=8.582 b=8.582 c=3.040 alpha=90.00 beta=90.00 gamma=90.00
Fractional coordinates of all 10 atoms:
As 0.000 0.000 0.000
As 0.500 0.500 0.000
Al 0.113 0.613 0.500
Al 0.613 0.887 0.500
Al 0.887 0.387 0.500
Al 0.387 0.113 0.500
In 0.314 0.814 0.000
In 0.814 0.686 0.000
In 0.686 0.186 0.000
In 0.186 0.314 0.000